Material: Nd3Dy2Hg4
Method: DFT, PBE
State: optimized geometry

```
Nd3Dy2Hg4
1.0
3.4525 -9.6169 0.0000
3.4525 9.6169 0.0000
0.0000 0.0000 8.0419
Nd Dy Hg
6 4 8
Direct
0.0000 0.0000 0.0000 Nd
0.0102 0.4898 0.2500 Nd
0.4898 0.0102 0.7500 Nd
0.5000 0.5000 0.5000 Nd
0.5102 0.9898 0.2500 Nd
0.9898 0.5102 0.7500 Nd
0.0931 0.9069 0.4147 Dy
0.4069 0.5931 0.9147 Dy
0.5931 0.4069 0.0853 Dy
0.9069 0.0931 0.5853 Dy
0.1586 0.8414 0.0397 Hg
0.1763 0.3237 0.2500 Hg
0.3237 0.1763 0.7500 Hg
0.3414 0.6586 0.5397 Hg
0.6586 0.3414 0.4603 Hg
0.6763 0.8237 0.2500 Hg
0.8237 0.6763 0.7500 Hg
0.8414 0.1586 0.9603 Hg
```

Properties
* mass density: 9.70 g cm⁻³
* space group: Cmce
* E: -3.02 eV per atom
* density of states at the Fermi level: 17.370 states/eV per cell

Material: NdDyHg5
Method: DFT, PBE
State: optimized geometry

```
NdDyHg5
1.0
3.2728 -3.2834 0.0000
3.2728 3.2834 0.0000
0.0000 0.0000 8.8547
Nd Dy Hg
1 1 5
Direct
0.0000 0.0000 0.0000 Nd
0.5000 0.5000 0.5000 Dy
0.0000 0.0000 0.5000 Hg
0.0000 0.5000 0.2467 Hg
0.0000 0.5000 0.7533 Hg
0.5000 0.0000 0.2467 Hg
0.5000 0.0000 0.7533 Hg
```

Properties
* mass density: 11.43 g cm⁻³
* space group: Cmmm
* E: -1.83 eV per atom
* density of states at the Fermi level: 3.878 states/eV per cell

Material: NdDy7Hg2
Method: DFT, PBE
State: optimized geometry

```
NdDy7Hg2
1.0
4.5566 -7.5616 0.0000
4.5566 7.5616 0.0000
0.0000 0.0000 5.3762
Nd Dy Hg
1 7 2
Direct
0.0000 0.0000 0.0000 Nd
0.0602 0.3052 0.5000 Dy
0.2402 0.7598 0.0000 Dy
0.3052 0.0602 0.5000 Dy
0.5000 0.5000 0.5000 Dy
0.6948 0.9398 0.5000 Dy
0.7598 0.2402 0.0000 Dy
0.9398 0.6948 0.5000 Dy
0.3053 0.6947 0.5000 Hg
0.6947 0.3053 0.5000 Hg
```

Properties
* mass density: 7.54 g cm⁻³
* space group: Cmmm
* E: -3.48 eV per atom
* density of states at the Fermi level: 20.227 states/eV per cell

Material: Nd2DyHg3
Method: DFT, PBE
State: optimized geometry

```
Nd2DyHg3
1.0
3.7885 0.0000 0.0000
0.0000 3.7885 0.0000
0.0000 0.0000 11.4699
Nd Dy Hg
2 1 3
Direct
0.0000 0.0000 0.1704 Nd
0.0000 0.0000 0.8296 Nd
0.0000 0.0000 0.5000 Dy
0.5000 0.5000 0.0000 Hg
0.5000 0.5000 0.3461 Hg
0.5000 0.5000 0.6539 Hg
```

Properties
* mass density: 10.62 g cm⁻³
* space group: P4/mmm
* E: -2.98 eV per atom
* density of states at the Fermi level: 6.680 states/eV per cell

Material: Nd2DyHg4
Method: DFT, PBE
State: optimized geometry

```
Nd2DyHg4
1.0
2.5823 1.4909 8.9833
-2.5823 1.4909 8.9833
0.0000 -2.9818 8.9833
Nd Dy Hg
2 1 4
Direct
0.2440 0.2440 0.2440 Nd
0.7560 0.7560 0.7560 Nd
0.0000 0.0000 0.0000 Dy
0.1266 0.1266 0.1266 Hg
0.3705 0.3705 0.3705 Hg
0.6295 0.6295 0.6295 Hg
0.8734 0.8734 0.8734 Hg
```

Properties
* mass density: 10.03 g cm⁻³
* space group: R-3m
* ΔE to the lowest computed polymorph: 0.0 meV/atom
* density of states at the Fermi level: 5.515 states/eV per cell

Material: Nd4DyHg3
Method: DFT, PBE
State: optimized geometry

```
Nd4DyHg3
1.0
11.1387 0.0000 0.0000
0.0000 7.1751 0.0000
0.0000 0.0000 5.7607
Nd Dy Hg
8 2 6
Direct
0.0000 0.2439 0.0000 Nd
0.0000 0.7561 0.0000 Nd
0.2500 0.2399 0.4012 Nd
0.2500 0.7601 0.4012 Nd
0.5000 0.2439 0.0000 Nd
0.5000 0.7561 0.0000 Nd
0.7500 0.2399 0.5988 Nd
0.7500 0.7601 0.5988 Nd
0.0000 0.5000 0.5000 Dy
0.5000 0.5000 0.5000 Dy
0.0000 0.0000 0.5000 Hg
0.2500 0.0000 0.8944 Hg
0.2500 0.5000 0.8763 Hg
0.5000 0.0000 0.5000 Hg
0.7500 0.0000 0.1056 Hg
0.7500 0.5000 0.1237 Hg
```

Properties
* mass density: 9.67 g cm⁻³
* space group: Pmma
* E: -3.35 eV per atom
* density of states at the Fermi level: 15.559 states/eV per cell

Material: Nd5Dy4Hg4
Method: DFT, PBE
State: optimized geometry

```
Nd5Dy4Hg4
1.0
-6.1423 6.1423 2.5952
6.1423 -6.1423 2.5952
6.1423 6.1423 -2.5952
Nd Dy Hg
5 4 4
Direct
0.0000 0.0000 0.0000 Nd
0.3142 0.3804 0.6946 Nd
0.3804 0.6858 0.0663 Nd
0.6196 0.3142 0.9337 Nd
0.6858 0.6196 0.3054 Nd
0.0971 0.6032 0.7003 Dy
0.3968 0.0971 0.4939 Dy
0.6032 0.9029 0.5061 Dy
0.9029 0.3968 0.2997 Dy
0.0922 0.2423 0.3345 Hg
0.2423 0.9078 0.1502 Hg
0.7577 0.0922 0.8498 Hg
0.9078 0.7577 0.6655 Hg
```

Properties
* mass density: 9.22 g cm⁻³
* space group: I4/m
* E: -3.65 eV per atom
* density of states at the Fermi level: 10.547 states/eV per cell

Material: Nd8Dy2Hg
Method: DFT, PBE
State: optimized geometry

```
Nd8Dy2Hg
1.0
8.9524 -2.8175 0.0000
8.9524 2.8175 0.0000
-2.9800 0.0000 7.3811
Nd Dy Hg
8 2 1
Direct
0.0108 0.0108 0.2598 Nd
0.1802 0.1802 0.7213 Nd
0.3386 0.3386 0.5841 Nd
0.3877 0.3877 0.0734 Nd
0.6123 0.6123 0.9266 Nd
0.6614 0.6614 0.4159 Nd
0.8198 0.8198 0.2787 Nd
0.9892 0.9892 0.7402 Nd
0.1895 0.1895 0.1596 Dy
0.8105 0.8105 0.8404 Dy
0.5000 0.5000 0.5000 Hg
```

Properties
* mass density: 7.49 g cm⁻³
* space group: C2/m
* E: -4.32 eV per atom
* density of states at the Fermi level: 15.929 states/eV per cell